No. 1
# MnTlSb2 | Alexandria | meta-GGA SCAN | single point on PBEsol structure
data_MnTlSb2
_chemical_formula_sum 'Mn4 Tl4 Sb8'
_space_group_name_H-M_alt 'P 1'
_space_group_IT_number 1
_space_group_name_Hall 'P 1'
_cell_length_a 7.276
_cell_length_b 7.276
_cell_length_c 7.276
_cell_angle_alpha 90.00
_cell_angle_beta 90.00
_cell_angle_gamma 90.00
loop_
_atom_site_label
_atom_site_fract_x
_atom_site_fract_y
_atom_site_fract_z
_atom_site_occupancy
Mn1 0.000 0.000 0.000 1
Mn2 0.000 0.500 0.500 1
Mn3 0.500 0.000 0.500 1
Mn4 0.500 0.500 0.000 1
Tl1 0.250 0.250 0.750 1
Tl2 0.250 0.750 0.250 1
Tl3 0.750 0.250 0.250 1
Tl4 0.750 0.750 0.750 1
Sb1 0.000 0.000 0.500 1
Sb2 0.000 0.500 0.000 1
Sb3 0.250 0.250 0.250 1
Sb4 0.250 0.750 0.750 1
Sb5 0.500 0.000 0.000 1
Sb6 0.500 0.500 0.500 1
Sb7 0.750 0.250 0.750 1
Sb8 0.750 0.750 0.250 1
# Uncorrected energy: -41.009 eV per atom
# N(E_F): 6.34 states/eV/cell
# Symmetry: F-43m



No. 2
# MnTlSb2 | Alexandria | meta-GGA SCAN | single point on PBEsol structure
data_MnTlSb2
_chemical_formula_sum 'Mn2 Tl2 Sb4'
_space_group_name_H-M_alt 'P 1'
_space_group_IT_number 1
_space_group_name_Hall 'P 1'
_cell_length_a 4.698
_cell_length_b 4.698
_cell_length_c 8.621
_cell_angle_alpha 90.00
_cell_angle_beta 90.00
_cell_angle_gamma 90.00
loop_
_atom_site_label
_atom_site_fract_x
_atom_site_fract_y
_atom_site_fract_z
_atom_site_occupancy
Mn1 0.000 0.000 0.000 1
Mn2 0.500 0.500 0.500 1
Tl1 0.000 0.000 0.500 1
Tl2 0.500 0.500 0.000 1
Sb1 0.000 0.500 0.250 1
Sb2 0.000 0.500 0.750 1
Sb3 0.500 0.000 0.250 1
Sb4 0.500 0.000 0.750 1
# Uncorrected energy: -41.075 eV per atom
# N(E_F): 3.75 states/eV/cell
# Symmetry: I4/mmm



No. 3
# Mn2TlSb | Alexandria | meta-GGA SCAN | single point on PBEsol structure
data_Mn2TlSb
_chemical_formula_sum 'Mn2 Tl1 Sb1'
_space_group_name_H-M_alt 'P 1'
_space_group_IT_number 1
_space_group_name_Hall 'P 1'
_cell_length_a 3.027
_cell_length_b 3.027
_cell_length_c 8.049
_cell_angle_alpha 90.00
_cell_angle_beta 90.00
_cell_angle_gamma 90.00
loop_
_atom_site_label
_atom_site_fract_x
_atom_site_fract_y
_atom_site_fract_z
_atom_site_occupancy
Mn1 0.000 0.000 0.000 1
Mn2 0.500 0.500 0.149 1
Tl1 0.500 0.500 0.750 1
Sb1 0.000 0.000 0.361 1
# Uncorrected energy: -36.334 eV per atom
# N(E_F): 1.01 states/eV/cell
# Symmetry: P4mm



No. 4
# MnTlSb4 | Alexandria | meta-GGA SCAN | single point on PBEsol structure
data_MnTlSb4
_chemical_formula_sum 'Mn1 Tl1 Sb4'
_space_group_name_H-M_alt 'P 1'
_space_group_IT_number 1
_space_group_name_Hall 'P 1'
_cell_length_a 6.190
_cell_length_b 6.190
_cell_length_c 6.190
_cell_angle_alpha 60.00
_cell_angle_beta 60.00
_cell_angle_gamma 60.00
loop_
_atom_site_label
_atom_site_fract_x
_atom_site_fract_y
_atom_site_fract_z
_atom_site_occupancy
Mn1 0.000 0.000 0.000 1
Tl1 0.750 0.750 0.750 1
Sb1 0.375 0.375 0.375 1
Sb2 0.375 0.375 0.876 1
Sb3 0.375 0.876 0.375 1
Sb4 0.876 0.375 0.375 1
# Uncorrected energy: -39.607 eV per atom
# N(E_F): 1.96 states/eV/cell
# Symmetry: F-43m



No. 5
# Mn2SbW | Alexandria | meta-GGA SCAN | single point on PBEsol structure
data_Mn2SbW
_chemical_formula_sum 'Mn2 Sb1 W1'
_space_group_name_H-M_alt 'P 1'
_space_group_IT_number 1
_space_group_name_Hall 'P 1'
_cell_length_a 4.198
_cell_length_b 4.198
_cell_length_c 3.120
_cell_angle_alpha 90.00
_cell_angle_beta 90.00
_cell_angle_gamma 90.00
loop_
_atom_site_label
_atom_site_fract_x
_atom_site_fract_y
_atom_site_fract_z
_atom_site_occupancy
Mn1 0.000 0.500 0.000 1
Mn2 0.500 0.000 0.000 1
Sb1 0.000 0.000 0.500 1
W1 0.500 0.500 0.500 1
# Uncorrected energy: -35.526 eV per atom
# N(E_F): 2.65 states/eV/cell
# Symmetry: P4/mmm



No. 6
# MnSb2W | Alexandria | meta-GGA SCAN | single point on PBEsol structure
data_MnSb2W
_chemical_formula_sum 'Mn1 Sb2 W1'
_space_group_name_H-M_alt 'P 1'
_space_group_IT_number 1
_space_group_name_Hall 'P 1'
_cell_length_a 3.126
_cell_length_b 3.126
_cell_length_c 7.918
_cell_angle_alpha 90.00
_cell_angle_beta 90.00
_cell_angle_gamma 90.00
loop_
_atom_site_label
_atom_site_fract_x
_atom_site_fract_y
_atom_site_fract_z
_atom_site_occupancy
Mn1 0.000 0.000 0.000 1
Sb1 0.000 0.000 0.599 1
Sb2 0.500 0.500 0.213 1
W1 0.500 0.500 0.839 1
# Uncorrected energy: -40.404 eV per atom
# N(E_F): 2.57 states/eV/cell
# Symmetry: P4mm



No. 7
# MnSb3W | Alexandria | meta-GGA SCAN | single point on PBEsol structure
data_MnSb3W
_chemical_formula_sum 'Mn1 Sb3 W1'
_space_group_name_H-M_alt 'P 1'
_space_group_IT_number 1
_space_group_name_Hall 'P 1'
_cell_length_a 5.194
_cell_length_b 5.194
_cell_length_c 5.194
_cell_angle_alpha 90.00
_cell_angle_beta 90.00
_cell_angle_gamma 90.00
loop_
_atom_site_label
_atom_site_fract_x
_atom_site_fract_y
_atom_site_fract_z
_atom_site_occupancy
Mn1 0.000 0.000 0.000 1
Sb1 0.000 0.500 0.500 1
Sb2 0.500 0.000 0.500 1
Sb3 0.500 0.500 0.000 1
W1 0.500 0.500 0.500 1
# Uncorrected energy: -39.072 eV per atom
# N(E_F): 4.05 states/eV/cell
# Symmetry: Pm-3m



No. 8
# MnSbW2 | Alexandria | meta-GGA SCAN | single point on PBEsol structure
data_MnSbW2
_chemical_formula_sum 'Mn1 Sb1 W2'
_space_group_name_H-M_alt 'P 1'
_space_group_IT_number 1
_space_group_name_Hall 'P 1'
_cell_length_a 2.871
_cell_length_b 4.123
_cell_length_c 5.379
_cell_angle_alpha 90.00
_cell_angle_beta 94.81
_cell_angle_gamma 90.00
loop_
_atom_site_label
_atom_site_fract_x
_atom_site_fract_y
_atom_site_fract_z
_atom_site_occupancy
Mn1 0.000 0.000 0.000 1
Sb1 0.000 0.000 0.500 1
W1 0.391 0.500 0.223 1
W2 0.609 0.500 0.777 1
# Uncorrected energy: -48.226 eV per atom
# N(E_F): 2.45 states/eV/cell
# Symmetry: P2/m



No. 9
# MnSbW2 | Alexandria | meta-GGA SCAN | single point on PBEsol structure
data_MnSbW2
_chemical_formula_sum 'Mn1 Sb1 W2'
_space_group_name_H-M_alt 'P 1'
_space_group_IT_number 1
_space_group_name_Hall 'P 1'
_cell_length_a 3.194
_cell_length_b 4.294
_cell_length_c 4.473
_cell_angle_alpha 90.00
_cell_angle_beta 90.00
_cell_angle_gamma 90.00
loop_
_atom_site_label
_atom_site_fract_x
_atom_site_fract_y
_atom_site_fract_z
_atom_site_occupancy
Mn1 0.000 0.000 0.000 1
Sb1 0.500 0.500 0.000 1
W1 0.000 0.500 0.500 1
W2 0.500 0.000 0.500 1
# Uncorrected energy: -48.214 eV per atom
# N(E_F): 2.25 states/eV/cell
# Symmetry: Pmmm



No. 10
# Mn2SbW | Alexandria | meta-GGA SCAN | single point on PBEsol structure
data_Mn2SbW
_chemical_formula_sum 'Mn4 Sb2 W2'
_space_group_name_H-M_alt 'P 1'
_space_group_IT_number 1
_space_group_name_Hall 'P 1'
_cell_length_a 3.445
_cell_length_b 4.084
_cell_length_c 8.167
_cell_angle_alpha 90.00
_cell_angle_beta 90.00
_cell_angle_gamma 90.00
loop_
_atom_site_label
_atom_site_fract_x
_atom_site_fract_y
_atom_site_fract_z
_atom_site_occupancy
Mn1 0.000 0.000 0.000 1
Mn2 0.000 0.500 0.260 1
Mn3 0.500 0.000 0.760 1
Mn4 0.500 0.500 0.500 1
Sb1 0.000 0.500 0.748 1
Sb2 0.500 0.000 0.248 1
W1 0.000 0.000 0.508 1
W2 0.500 0.500 0.008 1
# Uncorrected energy: -35.656 eV per atom
# N(E_F): 4.58 states/eV/cell
# Symmetry: Imm2



No. 11
# MnSb2W | Alexandria | meta-GGA SCAN | single point on PBEsol structure
data_MnSb2W
_chemical_formula_sum 'Mn3 Sb6 W3'
_space_group_name_H-M_alt 'P 1'
_space_group_IT_number 1
_space_group_name_Hall 'P 1'
_cell_length_a 3.079
_cell_length_b 3.079
_cell_length_c 29.874
_cell_angle_alpha 90.00
_cell_angle_beta 90.00
_cell_angle_gamma 120.00
loop_
_atom_site_label
_atom_site_fract_x
_atom_site_fract_y
_atom_site_fract_z
_atom_site_occupancy
Mn1 0.000 0.000 0.000 1
Mn2 0.333 0.667 0.667 1
Mn3 0.667 0.333 0.333 1
Sb1 0.000 0.000 0.532 1
Sb2 0.000 0.000 0.737 1
Sb3 0.333 0.667 0.198 1
Sb4 0.333 0.667 0.404 1
Sb5 0.667 0.333 0.071 1
Sb6 0.667 0.333 0.865 1
W1 0.000 0.000 0.275 1
W2 0.333 0.667 0.942 1
W3 0.667 0.333 0.608 1
# Uncorrected energy: -40.241 eV per atom
# N(E_F): 6.19 states/eV/cell
# Symmetry: R3m



No. 12
# MnSbW2 | Alexandria | meta-GGA SCAN | single point on PBEsol structure
data_MnSbW2
_chemical_formula_sum 'Mn1 Sb1 W2'
_space_group_name_H-M_alt 'P 1'
_space_group_IT_number 1
_space_group_name_Hall 'P 1'
_cell_length_a 2.942
_cell_length_b 2.942
_cell_length_c 7.175
_cell_angle_alpha 90.00
_cell_angle_beta 90.00
_cell_angle_gamma 90.00
loop_
_atom_site_label
_atom_site_fract_x
_atom_site_fract_y
_atom_site_fract_z
_atom_site_occupancy
Mn1 0.000 0.000 0.000 1
Sb1 0.000 0.000 0.500 1
W1 0.500 0.500 0.215 1
W2 0.500 0.500 0.785 1
# Uncorrected energy: -48.107 eV per atom
# N(E_F): 3.12 states/eV/cell
# Symmetry: P4/mmm



Number 1: formation energy without anion corrections 0.2747 eV per atom. Number 2: formation energy without anion corrections 0.2089 eV per atom. Number 3: formation energy without anion corrections 0.1981 eV per atom. Number 4: formation energy without anion corrections 0.3361 eV per atom. Number 5: formation energy without anion corrections 0.3384 eV per atom. Number 6: formation energy without anion corrections 0.2124 eV per atom. Number 7: formation energy without anion corrections 0.8727 eV per atom. Number 8: formation energy without anion corrections 0.4969 eV per atom. Number 9: formation energy without anion corrections 0.5086 eV per atom. Number 10: formation energy without anion corrections 0.2092 eV per atom. Number 11: formation energy without anion corrections 0.3749 eV per atom. Number 12: formation energy without anion corrections 0.6162 eV per atom.